A plane-wave DFT calculation with GGA-PBE was carried out for a relaxed structure of Ba2TlBi2O7.

- Space-group type: P4/mmm (123)
- V: 20.57 Å³ per atom
- Magnetic moment: 0.0552 μB/atom
- Calculated total energy: -66.1 eV per cell
- E_form (uncorrected): -1454 meV per atom

Cell and atoms, written as POSCAR:
```
Ba2TlBi2O7
1.0
3.9179 0.0000 0.0000
0.0000 3.9179 0.0000
0.0000 0.0000 16.0796
Ba Tl Bi O
2 1 2 7
direct
0.0000 0.0000 0.1739
0.0000 0.0000 0.8261
0.5000 0.5000 0.0000
0.5000 0.5000 0.3607
0.5000 0.5000 0.6393
0.0000 0.0000 0.0000
0.0000 0.5000 0.2998
0.0000 0.5000 0.7002
0.5000 0.0000 0.2998
0.5000 0.0000 0.7002
0.5000 0.5000 0.1264
0.5000 0.5000 0.8736
```



A plane-wave DFT calculation with GGA-PBE was carried out for a relaxed structure of CaNiP2S8.

- Space-group type: P-3 (147)
- V: 20.18 Å³ per atom
- Magnetic moment: 0.0000 μB/atom
- Calculated total energy: -56.3 eV per cell
- E_form (uncorrected): -389 meV per atom

Cell and atoms, written as POSCAR:
```
CaNiP2S8
1.0
5.8356 0.0000 0.0000
-2.9178 5.0538 0.0000
0.0000 0.0000 8.2129
Ca Ni P S
1 1 2 8
direct
0.0000 0.0000 0.0000
0.0000 0.0000 0.5000
0.3333 0.6667 0.7353
0.6667 0.3333 0.2647
0.9996 0.3023 0.6793
0.0004 0.6977 0.3207
0.3023 0.3027 0.3207
0.3027 0.0004 0.6793
0.3333 0.6667 0.9801
0.6667 0.3333 0.0199
0.6973 0.9996 0.3207
0.6977 0.6973 0.6793
```



A plane-wave DFT calculation with GGA-PBE was carried out for a relaxed structure of MoOs4Br.

- Space-group type: F-43m (216)
- V: 16.60 Å³ per atom
- Magnetic moment: 0.0002 μB/atom
- Calculated total energy: -49.9 eV per cell
- E_form (uncorrected): 1253 meV per atom

Cell and atoms, written as POSCAR:
```
MoOs4Br
1.0
0.0000 3.6791 3.6791
3.6791 0.0000 3.6791
3.6791 3.6791 0.0000
Mo Os Br
1 4 1
direct
0.0000 0.0000 0.0000
0.3747 0.3747 0.3747
0.3747 0.3747 0.8758
0.3747 0.8758 0.3747
0.8758 0.3747 0.3747
0.7500 0.7500 0.7500
```



A plane-wave DFT calculation with GGA-PBE was carried out for a relaxed structure of Sm2Er8Tm.

- Space-group type: C2/m (12)
- E_form: 24.2 kJ/mol of formula units
- Excess energy over the best structure of this formula in the dataset: 0.0 meV/atom
- V: 31.00 Å³ per atom
- Magnetic moment: 0.0000 μB/atom
- Calculated total energy: -50.2 eV per cell

Cell and atoms, written as POSCAR:
```
Sm2Er8Tm
1.0
8.9953 -2.4902 0.0000
8.9953 2.4902 0.0000
-2.0746 0.0000 7.6105
Sm Er Tm
2 8 1
direct
0.2269 0.2269 0.1371
0.7731 0.7731 0.8629
0.0446 0.0446 0.2280
0.1353 0.1353 0.6790
0.3189 0.3189 0.5915
0.4102 0.4102 0.0464
0.5898 0.5898 0.9536
0.6811 0.6811 0.4085
0.8647 0.8647 0.3210
0.9554 0.9554 0.7720
0.5000 0.5000 0.5000
```



A plane-wave DFT calculation with GGA-PBE was carried out for a relaxed structure of Cu6Se2SCl2.

- Space-group type: C2/m (12)
- V: 22.53 Å³ per atom
- Magnetic moment: 0.0000 μB/atom
- Calculated total energy: -41.0 eV per cell
- E_form (uncorrected): -152 meV per atom

Cell and atoms, written as POSCAR:
```
Cu6Se2SCl2
1.0
3.6426 -5.5958 0.0000
3.6426 5.5958 0.0000
-3.6214 0.0000 6.0802
Cu Se S Cl
6 2 1 2
direct
0.0404 0.7130 0.5783
0.2463 0.2463 0.2355
0.2870 0.9596 0.4217
0.7130 0.0404 0.5783
0.7537 0.7537 0.7645
0.9596 0.2870 0.4217
0.3519 0.6481 0.5000
0.6481 0.3519 0.5000
0.0000 0.0000 0.5000
0.1492 0.8508 0.0000
0.8508 0.1492 0.0000
```



A plane-wave DFT calculation with GGA-PBE was carried out for a relaxed structure of ScTaIr2.

- Space-group type: P2/m (10)
- E_form: -127.4 kJ/mol of formula units
- V: 17.06 Å³ per atom
- Magnetic moment: 0.0000 μB/atom
- Calculated total energy: -37.2 eV per cell

Cell and atoms, written as POSCAR:
```
ScTaIr2
1.0
4.6883 0.0000 0.0000
0.0000 2.9665 0.0000
-2.2433 0.0000 4.9080
Sc Ta Ir
1 1 2
direct
0.0000 0.0000 0.0000
0.5000 0.5000 0.5000
0.0000 0.0000 0.5000
0.5000 0.5000 0.0000
```



A plane-wave DFT calculation with GGA-PBE was carried out for a relaxed structure of Tb2Sm2HoSc.

- Space-group type: Pmma (51)
- E_form: 53.9 kJ/mol of formula units
- V: 30.85 Å³ per atom
- Magnetic moment: 0.0000 μB/atom
- Calculated total energy: -58.1 eV per cell

Cell and atoms, written as POSCAR:
```
Tb2Sm2HoSc
1.0
6.8651 0.0000 0.0000
0.0000 5.5839 0.0000
0.0000 0.0000 9.6576
Tb Sm Ho Sc
4 4 2 2
direct
0.2500 0.0000 0.1622
0.2500 0.5000 0.6694
0.7500 0.0000 0.8378
0.7500 0.5000 0.3306
0.0000 0.5000 0.0000
0.2500 0.0000 0.8139
0.5000 0.5000 0.0000
0.7500 0.0000 0.1861
0.2500 0.5000 0.3474
0.7500 0.5000 0.6526
0.0000 0.0000 0.5000
0.5000 0.0000 0.5000
```



A plane-wave DFT calculation with GGA-PBE was carried out for a relaxed structure of Pm5Pr3Er4.

- Space-group type: P-1 (2)
- E_form: 19.4 kJ/mol of formula units
- Excess energy over the best structure of this formula in the dataset: 0.0 meV/atom
- V: 33.46 Å³ per atom
- Magnetic moment: 0.0000 μB/atom
- Calculated total energy: -56.1 eV per cell

Cell and atoms, written as POSCAR:
```
Pm5Pr3Er4
1.0
6.2718 0.0000 0.0000
-0.0041 7.2276 0.0000
-0.0018 -0.0170 8.8587
Pm Pr Er
5 3 4
direct
0.0000 0.0000 0.0000
0.3337 0.5000 0.3351
0.4981 0.7529 0.9994
0.5019 0.2471 0.0006
0.6663 0.5000 0.6649
0.0000 0.5000 0.0000
0.1656 0.2476 0.6643
0.8344 0.7524 0.3357
0.1681 0.7531 0.6649
0.3347 0.0004 0.3354
0.6653 0.9996 0.6646
0.8319 0.2469 0.3351
```



A plane-wave DFT calculation with GGA-PBE was carried out for a relaxed structure of DyMgCoCu.

- Space-group type: F-43m (216)
- E_form: -23.0 kJ/mol of formula units
- V: 17.38 Å³ per atom
- Magnetic moment: 0.0664 μB/atom
- Calculated total energy: -17.6 eV per cell

Cell and atoms, written as POSCAR:
```
DyMgCoCu
1.0
0.0000 3.2633 3.2633
3.2633 0.0000 3.2633
3.2633 3.2633 0.0000
Dy Mg Co Cu
1 1 1 1
direct
0.0000 0.0000 0.0000
0.5000 0.5000 0.5000
0.2500 0.2500 0.2500
0.7500 0.7500 0.7500
```



A plane-wave DFT calculation with GGA-PBE was carried out for a relaxed structure of Ti3Zn3Pd2.

- Space-group type: C2/m (12)
- E_form: -286.7 kJ/mol of formula units
- Excess energy over the best structure of this formula in the dataset: 0.0 meV/atom
- V: 15.29 Å³ per atom
- Magnetic moment: 0.0373 μB/atom
- Calculated total energy: -40.9 eV per cell

Cell and atoms, written as POSCAR:
```
Ti3Zn3Pd2
1.0
8.0997 -1.9166 0.0000
8.0997 1.9166 0.0000
-1.0172 0.0000 3.9394
Ti Zn Pd
3 3 2
direct
0.0000 0.0000 0.0000
0.1303 0.1303 0.6305
0.8697 0.8697 0.3695
0.3734 0.3734 0.8732
0.5000 0.5000 0.5000
0.6266 0.6266 0.1268
0.2469 0.2469 0.2467
0.7531 0.7531 0.7533
```



A plane-wave DFT calculation with GGA-PBE was carried out for a relaxed structure of Li2U2TlS6.

- Space-group type: P-1 (2)
- V: 24.99 Å³ per atom
- Magnetic moment: 0.2727 μB/atom
- Calculated total energy: -66.5 eV per cell
- E_form (uncorrected): -1181 meV per atom

Cell and atoms, written as POSCAR:
```
Li2U2TlS6
1.0
6.7585 0.0000 0.0000
2.6954 6.5563 0.0000
1.7864 2.9640 6.2041
Li U Tl S
2 2 1 6
direct
0.0040 0.2437 0.1587
0.9960 0.7563 0.8413
0.4883 0.6714 0.1726
0.5117 0.3286 0.8274
0.5000 0.0000 0.5000
0.2578 0.6887 0.5325
0.2590 0.4574 0.1251
0.2609 0.0761 0.9121
0.7391 0.9239 0.0879
0.7410 0.5426 0.8749
0.7422 0.3113 0.4675
```



A plane-wave DFT calculation with GGA-PBE was carried out for a relaxed structure of K2PuInO6.

- Space-group type: Fm-3m (225)
- V: 14.98 Å³ per atom
- Magnetic moment: 0.0999 μB/atom
- Calculated total energy: -69.3 eV per cell
- E_form (uncorrected): -2027 meV per atom

Cell and atoms, written as POSCAR:
```
K2PuInO6
1.0
0.0000 4.2152 4.2152
4.2152 0.0000 4.2152
4.2152 4.2152 0.0000
K Pu In O
2 1 1 6
direct
0.2500 0.2500 0.2500
0.7500 0.7500 0.7500
0.0000 0.0000 0.0000
0.5000 0.5000 0.5000
0.2398 0.2398 0.7602
0.2398 0.7602 0.2398
0.2398 0.7602 0.7602
0.7602 0.2398 0.2398
0.7602 0.2398 0.7602
0.7602 0.7602 0.2398
```